Pr4Ho3Er4: optimized geometry, PBE.

Unit cell a=3.6037 b=9.4279 c=21.8349 alpha=90.00 beta=90.00 gamma=90.00
With the nearest neighbours (Å) after each atom.
Space group Immm (No. 71)
Symmetry-distinct sites (fractional):
Pr: 0.0000 0.1787 0.1449 x8  3 Pr 3.37-3.60, 4 Er 3.42-3.66, 2 Ho 3.62
Ho: 0.0000 0.0000 0.3935 x4  6 Er 3.40-3.41, 2 Ho 3.60, 4 Pr 3.62
Ho: 0.0000 0.5000 0.5000 x2  4 Er 3.50, 2 Ho 3.60
Er: 0.0000 0.3179 0.0000 x4  6 Ho 3.41-3.50, 2 Pr 3.42, 3 Er 3.43-3.60
Er: 0.0000 0.5000 0.2388 x4  2 Ho 3.40, 6 Pr 3.54-3.66, 2 Er 3.60

Summary:
- total energy (eV/atom) = -4.52
- energy of formation (eV/atom) = 0.12
- crystal system = orthorhombic

---

SmBiPt2: optimized geometry, PBE.

Unit cell a=4.3615 b=4.3615 c=17.5929 alpha=90.00 beta=90.00 gamma=120.00
With the nearest neighbours (Å) after each atom.
Space group R-3m (No. 166, hexagonal axes)
Symmetry-distinct sites (fractional):
Sm: 0.0000 0.0000 0.0000 x3  6 Pt 3.00
Bi: 0.0000 0.0000 0.5000 x3  6 Pt 2.84
Pt: 0.0000 0.0000 0.2409 x6  3 Bi 2.84, 3 Sm 3.00

Summary:
- total energy (eV/atom) = -5.79
- energy of formation (eV/atom) = -0.62
- crystal system = trigonal

---

Tb2PuF: optimized geometry, PBE.

Unit cell a=6.1449 b=6.1449 c=11.8347 alpha=90.00 beta=90.00 gamma=120.00
With the nearest neighbours (Å) after each atom.
Space group R-3m (No. 166, hexagonal axes)
Symmetry-distinct sites (fractional):
Tb: 0.0000 0.0000 0.1797 x6  1 F 2.13
Pu: 0.0000 0.0000 0.5000 x3  8 Tb 3.55-3.79
F: 0.0000 0.0000 0.0000 x3  2 Tb 2.13

Summary:
- total energy (eV/atom) = -6.90
- uncorrected formation energy (eV per atom) = -0.54
- crystal system = trigonal

---

Ca4CoIr: optimized geometry, PBE.

Unit cell a=8.4472 b=8.4472 c=8.4472 alpha=90.00 beta=90.00 gamma=90.00
With the nearest neighbours (Å) after each atom.
Space group F-43m (No. 216)
Symmetry-distinct sites (fractional):
Ca: 0.1245 0.1245 0.3755 x16  6 Ca 2.97-3.00
Co: 0.0000 0.0000 0.0000 x4  12 Ca 3.50, 4 Ir 3.66
Ir: 0.2500 0.2500 0.7500 x4  12 Ca 3.50, 4 Co 3.66

Summary:
- total energy (eV/atom) = -2.96
- energy of formation (eV/atom) = 1.03
- crystal system = cubic

---

Mg2AlFe: optimized geometry, PBE.

Unit cell a=3.0608 b=3.0608 c=7.1125 alpha=90.00 beta=90.00 gamma=90.00
With the nearest neighbours (Å) after each atom.
Space group P4mm (No. 99)
Symmetry-distinct sites (fractional):
Mg: 0.0000 0.0000 0.0000 x1  4 Fe 2.73, 1 Al 2.75
Mg: 0.5000 0.5000 0.3281 x1  4 Al 2.97, 8 Mg 3.06-3.18, 1 Fe 3.11
Al: 0.0000 0.0000 0.6137 x1  4 Fe 2.42
Fe: 0.5000 0.5000 0.7655 x1  4 Al 2.42

Summary:
- total energy (eV/atom) = -3.83
- energy of formation (eV/atom) = 0.01
- crystal system = tetragonal

---

Y2TaGa2: optimized geometry, PBE.

Unit cell a=7.2414 b=7.2414 c=4.2583 alpha=90.00 beta=90.00 gamma=90.00
With the nearest neighbours (Å) after each atom.
Space group P4/mbm (No. 127)
Symmetry-distinct sites (fractional):
Y: 0.1777 0.3223 0.0000 x4  6 Ga 2.91-3.10
Ta: 0.0000 0.0000 0.5000 x2  4 Ga 2.84
Ga: 0.1291 0.6291 0.5000 x4  1 Ga 2.64, 2 Ta 2.84, 2 Y 2.91

Summary:
- total energy (eV/atom) = -6.44
- energy of formation (eV/atom) = -0.27
- crystal system = tetragonal

---

LiINF2: optimized geometry, PBE.

Unit cell a=3.6438 b=3.6438 c=4.6231 alpha=90.00 beta=90.00 gamma=90.00
With the nearest neighbours (Å) after each atom.
Space group P4/mmm (No. 123)
Symmetry-distinct sites (fractional):
Li: 0.0000 0.0000 0.0000 x1  4 F 1.82
I: 0.5000 0.5000 0.5000 x1  4 N 2.58
N: 0.0000 0.0000 0.5000 x1  2 Li 2.31, 4 I 2.58
F: 0.0000 0.5000 0.0000 x2  2 Li 1.82

Summary:
- total energy (eV/atom) = -3.42
- uncorrected formation energy (eV per atom) = -0.32
- crystal system = tetragonal

---

Hg2OsW: optimized geometry, PBE.

Unit cell a=5.4762 b=9.0295 c=2.9029 alpha=90.00 beta=90.00 gamma=90.00
With the nearest neighbours (Å) after each atom.
Space group Cmmm (No. 65)
Symmetry-distinct sites (fractional):
Hg: 0.2500 0.2500 0.0000 x4  4 Hg 2.74-2.90, 4 Os 3.01, 4 W 3.01
Os: 0.0000 0.0000 0.5000 x2  2 W 2.74, 2 Os 2.90, 8 Hg 3.01
W: 0.0000 0.5000 0.5000 x2  2 Os 2.74, 2 W 2.90, 8 Hg 3.01

Summary:
- total energy (eV/atom) = -5.11
- energy of formation (eV/atom) = 1.09
- crystal system = orthorhombic

---

PrNiOs: optimized geometry, PBE.

Unit cell a=5.1096 b=5.4462 c=7.7777 alpha=90.00 beta=90.00 gamma=90.00
With the nearest neighbours (Å) after each atom.
Space group Imma (No. 74)
Symmetry-distinct sites (fractional):
Pr: 0.0000 0.2500 0.1210 x4  6 Ni 3.04-3.25, 6 Os 3.16-3.17, 4 Pr 3.25-3.31
Ni: 0.0000 0.0000 0.5000 x4  4 Os 2.70, 2 Ni 2.72
Os: 0.2500 0.2500 0.7500 x4  2 Os 2.55, 4 Ni 2.70

Summary:
- total energy (eV/atom) = -7.45
- energy of formation (eV/atom) = -0.18
- crystal system = orthorhombic

---

Nd3Tm5Sc2: optimized geometry, PBE.

Unit cell a=9.2445 b=9.2538 c=9.2740 alpha=106.46 beta=106.47 gamma=115.55
With the nearest neighbours (Å) after each atom.
Space group P-1 (No. 2)
Symmetry-distinct sites (fractional):
Nd: 0.0812 0.0312 0.3512 x2  8 Tm 3.44-3.58, 2 Sc 3.46-3.50, 2 Nd 3.54-3.57
Nd: 0.2725 0.4241 0.9508 x2  5 Tm 3.44-3.55, 4 Sc 3.46-3.59, 3 Nd 3.48-3.54
Nd: 0.3223 0.7721 0.8495 x2  8 Tm 3.48-3.53, 2 Nd 3.48-3.54, 2 Sc 3.49-3.53
Tm: 0.0249 0.6746 0.4485 x2  2 Sc 3.48-3.53, 5 Nd 3.48-3.53, 5 Tm 3.48-3.55
Tm: 0.1312 0.3820 0.2509 x2  4 Sc 3.42-3.51, 5 Tm 3.43-3.56, 3 Nd 3.44-3.51
Tm: 0.2271 0.0754 0.0541 x2  5 Nd 3.44-3.55, 2 Sc 3.48-3.49, 5 Tm 3.49-3.57
Tm: 0.3802 0.1268 0.7482 x2  4 Tm 3.45-3.57, 2 Sc 3.46-3.52, 6 Nd 3.49-3.58
Tm: 0.4732 0.8227 0.5477 x2  6 Tm 3.43-3.51, 4 Sc 3.45-3.53, 2 Nd 3.46-3.52
Sc: 0.1736 0.7239 0.1502 x2  7 Tm 3.44-3.53, 4 Nd 3.46-3.50, 1 Sc 3.49
Sc: 0.4277 0.4766 0.6442 x2  1 Sc 3.36, 7 Tm 3.42-3.53, 4 Nd 3.46-3.59

Summary:
- total energy (eV/atom) = -4.89
- energy of formation (eV/atom) = 0.04
- crystal system = triclinic

---

CdWSe2: optimized geometry, PBE.

Unit cell a=3.1692 b=5.1181 c=10.6743 alpha=90.00 beta=90.00 gamma=90.00
With the nearest neighbours (Å) after each atom.
Space group Cmmm (No. 65)
Symmetry-distinct sites (fractional):
Cd: 0.0000 0.0000 0.0000 x2  6 Cd 3.01-3.17
W: 0.0000 0.0000 0.5000 x2  4 Se 2.59
Se: 0.0000 0.5000 0.3082 x4  2 W 2.59

Summary:
- total energy (eV/atom) = -4.92
- uncorrected formation energy (eV per atom) = 0.29
- crystal system = orthorhombic

---

Co3NiW: optimized geometry, PBE.

Unit cell a=4.1045 b=4.1045 c=4.1045 alpha=90.00 beta=90.00 gamma=90.00
With the nearest neighbours (Å) after each atom.
Space group Pm-3m (No. 221)
Symmetry-distinct sites (fractional):
Co: 0.0000 0.0000 0.5000 x3  2 Ni 2.05
Ni: 0.0000 0.0000 0.0000 x1  6 Co 2.05
W: 0.5000 0.5000 0.5000 x1  12 Co 2.90

Summary:
- total energy (eV/atom) = -6.51
- energy of formation (eV/atom) = 1.50
- crystal system = cubic

---

Among the records above, which one has the highest total energy?
Ca4CoIr